DFT (GGA-PBE) results for an optimized crystal structure of KCeBr5.

Total DFT energy (no corrections) ... -3.814 eV/atom
Calculated density ... 3.02 g/cm³
Volume ... 636.9 Å³ per cell
M_tot ... 0.0 Bohr magnetons per cell
Space group ... C2/c

Unit cell a=8.1510 b=8.1510 c=11.3523 alpha=110.80 beta=110.80 gamma=69.43
Closest atoms and distances in Å follow each position.
Fractional positions:
K1 0.0562 0.9438 0.7500  7 Br 3.34-3.54
K2 0.9438 0.0562 0.2500  7 Br 3.34-3.54
Ce1 0.5000 0.5000 0.0000  6 Br 2.73-2.91
Ce2 0.5000 0.5000 0.5000  6 Br 2.73-2.91
Br1 0.1895 0.7785 0.0286  1 Ce 2.77
Br2 0.2215 0.8105 0.4714  1 Ce 2.77
Br3 0.2540 0.2952 0.3816  1 Ce 2.73
Br4 0.2952 0.2540 0.8816  1 Ce 2.73
Br5 0.4325 0.5675 0.7500  2 Ce 2.91
Br6 0.5675 0.4325 0.2500  2 Ce 2.91
Br7 0.7048 0.7460 0.1184  1 Ce 2.73
Br8 0.7460 0.7048 0.6184  1 Ce 2.73
Br9 0.7785 0.1895 0.5286  1 Ce 2.77
Br10 0.8105 0.2215 0.9714  1 Ce 2.77

=====

DFT (GGA-PBE) results for an optimized crystal structure of Pm2NdEr.

Total DFT energy (no corrections) ... -4.594 eV/atom
Calculated density ... 7.40 g/cm³
Volume ... 135.0 Å³ per cell
Fermi-level density of states ... 2.196 states/eV per atom
M_tot ... 0.0 Bohr magnetons per cell
Distance to the lowest polymorph of the same formula ... 98.1 meV per atom
Space group ... P4/mmm

Unit cell a=4.2488 b=4.2488 c=7.4756 alpha=90.00 beta=90.00 gamma=90.00
Closest atoms and distances in Å follow each position.
Fractional positions:
Pm1 0.0000 0.0000 0.2415  4 Er 3.51, 4 Nd 3.57, 2 Pm 3.61-3.87
Pm2 0.0000 0.0000 0.7585  4 Er 3.51, 4 Nd 3.57, 2 Pm 3.61-3.87
Nd1 0.5000 0.5000 0.5000  8 Pm 3.57, 2 Er 3.74
Er1 0.5000 0.5000 0.0000  8 Pm 3.51, 2 Nd 3.74

=====

DFT (GGA-PBE) results for an optimized crystal structure of Cd3InCu8.

Total DFT energy (no corrections) ... -3.188 eV/atom
Calculated density ... 8.81 g/cm³
Volume ... 181.1 Å³ per cell
Fermi-level density of states ... 0.327 states/eV per atom
M_tot ... 0.0 Bohr magnetons per cell
Space group ... R3m

Unit cell a=8.6056 b=8.6056 c=8.6056 alpha=34.36 beta=34.36 gamma=34.36
Closest atoms and distances in Å follow each position.
Fractional positions:
Cd1 0.0000 0.0000 0.0000  12 Cu 2.94-2.98, 1 Cd 3.02, 3 In 3.12
Cd2 0.1245 0.1245 0.1245  12 Cu 2.91-2.98, 4 Cd 3.02-3.09
Cd3 0.4970 0.4970 0.4970  12 Cu 2.89-2.98, 1 In 3.07, 3 Cd 3.09
In1 0.6234 0.6234 0.6234  12 Cu 2.93-2.98, 4 Cd 3.07-3.12
Cu1 0.0612 0.0612 0.5620  6 Cu 2.50-2.55
Cu2 0.0609 0.5613 0.5613  6 Cu 2.50-2.54
Cu3 0.0612 0.5620 0.0612  6 Cu 2.50-2.55
Cu4 0.3114 0.3114 0.3114  6 Cu 2.50
Cu5 0.5613 0.0609 0.5613  6 Cu 2.50-2.54
Cu6 0.5613 0.5613 0.0609  6 Cu 2.50-2.54
Cu7 0.5620 0.0612 0.0612  6 Cu 2.50-2.55
Cu8 0.8114 0.8114 0.8114  6 Cu 2.50

=====

DFT (GGA-PBE) results for an optimized crystal structure of Be3Re2.

Total DFT energy (no corrections) ... -7.439 eV/atom
Calculated density ... 12.82 g/cm³
Volume ... 103.5 Å³ per cell
Fermi-level density of states ... 0.631 states/eV per atom
M_tot ... 0.0 Bohr magnetons per cell
Distance to the lowest polymorph of the same formula ... 0.0 meV per atom
Space group ... Fdd2

Unit cell a=6.1423 b=4.5776 c=6.9414 alpha=60.38 beta=40.38 gamma=79.24
Closest atoms and distances in Å follow each position.
Fractional positions:
Be1 0.0000 0.0000 0.0000  4 Be 2.06-2.12
Be2 0.2500 0.2500 0.2500  4 Be 2.06-2.12
Be3 0.2846 0.3729 0.4758  4 Be 2.06-2.29
Be4 0.3729 0.2846 0.8667  4 Be 2.06-2.29
Be5 0.3833 0.7742 0.8771  4 Be 2.06-2.29
Be6 0.7742 0.3833 0.9654  4 Be 2.06-2.29
Re1 0.3506 0.8029 0.5432  9 Be 2.40-2.68
Re2 0.7068 0.9468 0.8994  9 Be 2.40-2.68
Re3 0.8029 0.3506 0.3032  9 Be 2.40-2.68
Re4 0.9468 0.7068 0.4471  9 Be 2.40-2.68